No. 1
The following is a DFT calculation (GGA-PBE) of crystalline La3Tb6Er2Tm at its relaxed geometry.

## Properties
**Formation energy from the elements**: 2 kJ/mol of atoms
**Electronic total energy**: -4.6559 eV per atom

extended XYZ file:
```
12
Lattice="3.1112 -5.3913 0.0000 3.1112 5.3913 0.0000 -2.0792 0.0000 11.7222" Properties=species:S:1:pos:R:3 pbc="T T T"
La 0.0000 0.0000 0.0000
La 3.1112 1.7995 0.0000
La 3.1112 -1.7995 0.0000
Tb 1.0379 1.7962 3.0143
Tb -0.0045 0.0000 8.7095
Tb 1.0379 -1.7962 3.0143
Tb 3.1053 1.7962 8.7079
Tb 4.1477 0.0000 3.0128
Tb 3.1053 -1.7962 8.7079
Er 2.0716 3.5948 5.8611
Er 2.0716 -3.5948 5.8611
Tm 2.0716 0.0000 5.8611
```

No. 2
The following is a DFT calculation (GGA-PBE) of crystalline LaTbEr3Tm at its relaxed geometry.

## Properties
**Formation energy from the elements**: 22 kJ/mol of atoms
**Electronic total energy**: -4.3934 eV per atom

extended XYZ file:
```
12
Lattice="9.8119 -2.7882 0.0000 9.8119 2.7882 0.0000 -0.0491 0.0000 7.1459" Properties=species:S:1:pos:R:3 pbc="T T T"
La 2.7807 0.0000 0.2237
La 16.7940 0.0000 6.9222
Tb 2.9486 0.0000 3.2282
Tb 16.6261 0.0000 3.9177
Er 0.4455 0.0000 5.1717
Er 5.4196 0.0000 5.4465
Er 6.5958 0.0000 1.9840
Er 12.9789 0.0000 5.1619
Er 14.1551 0.0000 1.6994
Er 19.1291 0.0000 1.9742
Tm 8.6914 0.0000 5.0548
Tm 10.8832 0.0000 2.0911
```

No. 3
The following is a DFT calculation (GGA-PBE) of crystalline LaTbEr2Tm at its relaxed geometry.

## Properties
**Formation energy from the elements**: 35 kJ/mol of atoms
**Electronic total energy**: -4.2646 eV per atom

extended XYZ file:
```
10
Lattice="4.1956 -5.7272 0.0000 4.1956 5.7272 0.0000 0.0000 0.0000 7.2129" Properties=species:S:1:pos:R:3 pbc="T T T"
La 4.1956 3.0606 5.4096
La 4.1956 -3.0606 1.8032
Tb 4.1956 0.0163 1.8032
Tb 4.1956 -0.0163 5.4096
Er 1.5871 0.0000 0.0000
Er 1.5871 0.0000 3.6064
Er 6.8041 0.0000 0.0000
Er 6.8041 0.0000 3.6064
Tm 4.1956 3.2432 1.8032
Tm 4.1956 -3.2432 5.4096
```

No. 4
The following is a DFT calculation (GGA-PBE) of crystalline La2Tb3Er6Tm at its relaxed geometry.

## Properties
**Formation energy from the elements**: 2 kJ/mol of atoms
**Electronic total energy**: -4.6112 eV per atom

extended XYZ file:
```
12
Lattice="3.0852 -5.3418 0.0000 3.0852 5.3418 0.0000 -2.0495 0.0000 11.5766" Properties=species:S:1:pos:R:3 pbc="T T T"
La 3.0852 3.5657 0.0000
La 3.0852 -3.5657 0.0000
Tb -1.0248 0.0000 5.7883
Tb 2.0604 1.7791 5.7883
Tb 2.0604 -1.7791 5.7883
Er 0.0071 1.7730 8.6459
Er 1.0423 0.0000 2.9350
Er 0.0071 -1.7730 8.6459
Er 4.1137 1.7730 2.9308
Er 3.0785 0.0000 8.6417
Er 4.1137 -1.7730 2.9308
Tm 3.0852 0.0000 0.0000
```